VASP calculation (PBE-GGA) on a relaxed ZnRu2Cl crystal.

```
4
Lattice="4.704 0.000 0.000 1.298 4.522 0.000 -3.001 -2.261 2.830" Properties=species:S:1:pos:R:3 pbc="T T T"
Ru 0.649 2.261 1.415
Cl 2.352 0.000 1.415
Zn 3.001 2.261 0.000
Ru 0.000 0.000 0.000
```

Magnetic moment: 1.04 μB per formula unit
Energy above the lowest structure with this stoichiometry: 727.6 meV per atom
Uncorrected energy: -4.649 eV/atom
Calculated volume: 60 Å³/cell
E_form (uncorrected): 0.769 eV/atom

***

VASP calculation (PBE-GGA) on a relaxed ZnRu2Cl crystal.

```
4
Lattice="-1.579 -0.473 2.375 2.777 -0.801 -0.069 2.283 7.646 3.041" Properties=species:S:1:pos:R:3 pbc="T T T"
Zn 1.142 3.826 1.522
Cl 2.309 5.091 3.431
Ru 0.004 0.013 0.005
Ru 1.167 1.265 1.909
```

Magnetic moment: 1.28 μB per formula unit
Energy above the lowest structure with this stoichiometry: 365.5 meV per atom
Uncorrected energy: -5.011 eV/atom
Calculated volume: 62 Å³/cell
E_form (uncorrected): 0.407 eV/atom

***

VASP calculation (PBE-GGA) on a relaxed ZnRuCl crystal.

```
3
Lattice="3.077 0.000 0.000 -1.539 2.665 0.000 0.000 0.000 5.921" Properties=species:S:1:pos:R:3 pbc="T T T"
Cl 0.000 0.000 0.080
Ru 0.000 1.777 1.975
Zn 1.539 0.888 3.866
```

Magnetic moment: 1.42 μB per formula unit
Energy above the lowest structure with this stoichiometry: 0.0 meV per atom
Uncorrected energy: -3.910 eV/atom
Calculated volume: 49 Å³/cell
E_form (uncorrected): 0.222 eV/atom

***

Q: Which of these has the lowest energy above the lowest structure with this stoichiometry?
A: ZnRuCl

***

Q: Number 3 is which compound?
A: ZnRuCl

***

Copy entry 3 word for word.
VASP calculation (PBE-GGA) on a relaxed ZnRuCl crystal.

```
3
Lattice="3.077 0.000 0.000 -1.539 2.665 0.000 0.000 0.000 5.921" Properties=species:S:1:pos:R:3 pbc="T T T"
Cl 0.000 0.000 0.080
Ru 0.000 1.777 1.975
Zn 1.539 0.888 3.866
```

Magnetic moment: 1.42 μB per formula unit
Energy above the lowest structure with this stoichiometry: 0.0 meV per atom
Uncorrected energy: -3.910 eV/atom
Calculated volume: 49 Å³/cell
E_form (uncorrected): 0.222 eV/atom